5
Lattice="4.178 0.000 0.000 0.000 5.030 0.000 0.000 0.000 5.030" Properties=species:S:1:pos:R:3 comment="PBE-GGA LiNd2HgO, relaxed" volume_a3_per_cell=105.7 formation_energy_uncorrected_ev_per_atom=-1.310 energy_ev_per_atom=-4.652 pbc="T T T"
Li 2.089 0.000 0.000
Nd 0.000 2.515 0.000
Nd 0.000 0.000 2.515
O 0.000 0.000 0.000
Hg 2.089 2.515 2.515

7
Lattice="-0.209 -4.717 0.897 0.365 -3.152 -3.610 8.575 -2.806 0.118" Properties=species:S:1:pos:R:3 comment="PBE-GGA Li2NdHg2Pb2, relaxed" volume_a3_per_cell=171.8 energy_ev_per_atom=-2.701 formation_enthalpy_0k_kj_per_mol_atoms=-31.6 pbc="T T T"
Pb 1.762 -2.660 -0.699
Pb 6.969 -8.015 -1.896
Li 3.790 -7.947 -2.277
Li 4.941 -2.728 -0.318
Hg 2.922 -5.306 -1.471
Hg 5.810 -5.369 -1.124
Nd 0.000 0.000 0.000

4
Lattice="5.270 0.000 0.000 2.635 4.564 0.000 2.635 1.521 4.303" Properties=species:S:1:pos:R:3 comment="PBE-GGA LiNdHgPb, relaxed" volume_a3_per_cell=103.5 energy_ev_per_atom=-3.128 formation_enthalpy_0k_kj_per_mol_atoms=-43.9 pbc="T T T"
Nd 5.270 3.043 2.152
Li 0.000 0.000 0.000
Hg 7.905 4.564 3.227
Pb 2.635 1.521 1.076